Below is an optimized crystal structure of Tl2InSe, with properties calculated at the PBEsol level.

abc: 5.3281 5.3281 5.3281
angles: 60.00 60.00 60.00
Fractional coordinates of all 4 atoms:
Se: 0.5000 0.5000 0.5000
Tl: 0.7500 0.7500 0.7500
Tl: 0.2500 0.2500 0.2500
In: 0.0000 0.0000 0.0000

Results
**Offset from the most stable computed form**: 156.6 meV/atom
**Total energy**: -3.07 eV/atom
**Raw formation energy**: -0.05 eV per atom
**Magnetization**: 0.000 μB per atom
**Calculated density**: 9.35 g/cm³